No. 1
Here is crystalline Zn2TeHPt at its relaxed geometry from the Alexandria database. Energies are from PBE-GGA.

Results
**N(E_F)**: 0.30 states/eV per atom
**Final energy**: -2.872 eV/atom
**Total moment**: 0.000 μB per cell

```
Zn2TeHPt
1.0
4.5921 0.0000 0.0000
0.0000 3.7074 0.0000
0.0000 0.0000 4.5921
Zn Te H Pt
2 1 1 1
direct
0.5000 0.0000 0.0000
0.0000 0.0000 0.5000
0.5000 0.5000 0.5000
0.0000 0.0000 0.0000
0.0000 0.5000 0.0000
```


No. 2
Here is crystalline Th4HPt2 at its relaxed geometry from the Alexandria database. Energies are from PBE-GGA.

Results
**N(E_F)**: 1.23 states/eV per atom
**Final energy**: -7.018 eV/atom
**Total moment**: 0.000 μB per cell

```
Th4HPt2
1.0
-1.2574 4.2955 -1.1204
-1.4732 -1.5022 -4.1062
-8.5877 0.0837 0.4583
Pt H Th
2 1 4
direct
0.6432 0.6432 0.7136
0.3568 0.3568 0.2864
0.0000 0.0000 0.0000
0.0000 0.5000 0.0000
0.5000 0.0000 0.0000
0.8145 0.8145 0.3710
0.1855 0.1855 0.6290
```


No. 3
Here is crystalline Th3H12Pt5 at its relaxed geometry from the Alexandria database. Energies are from PBE-GGA.

Results
**N(E_F)**: 0.38 states/eV per atom
**Final energy**: -4.882 eV/atom
**Total moment**: 0.000 μB per cell

```
Th3H12Pt5
1.0
-0.6878 -1.8016 -10.3941
0.3862 -9.2204 5.1566
-8.4614 5.4728 3.1953
H Pt Th
48 20 12
direct
0.0835 0.1776 0.1826
0.8224 0.9059 0.0050
0.1826 0.5050 0.5991
0.5941 0.5991 0.4165
0.5050 0.1826 0.0991
0.6776 0.1826 0.5835
0.8174 0.3224 0.9165
0.0991 0.6826 0.5050
0.3174 0.9009 0.9950
0.9009 0.3174 0.4950
0.4950 0.8174 0.9009
0.3224 0.5050 0.4059
0.6776 0.4950 0.5941
0.9165 0.0941 0.5991
0.4009 0.4059 0.0835
0.0941 0.1776 0.4950
0.4165 0.0991 0.5941
0.0835 0.9059 0.4009
0.1826 0.6776 0.0835
0.1776 0.0835 0.6826
0.5050 0.3224 0.9059
0.9059 0.0835 0.9009
0.1776 0.0941 0.9950
0.9950 0.5941 0.1776
0.4950 0.6776 0.0941
0.9950 0.4009 0.3174
0.3224 0.8174 0.4165
0.5991 0.0050 0.1826
0.4009 0.9950 0.8174
0.3174 0.4165 0.8224
0.5835 0.6826 0.6776
0.4059 0.4009 0.5835
0.5991 0.5941 0.9165
0.8224 0.9165 0.3174
0.9009 0.5835 0.9059
0.5835 0.9009 0.4059
0.0050 0.4059 0.8224
0.0050 0.5991 0.6826
0.4059 0.0050 0.3224
0.5941 0.9950 0.6776
0.8174 0.4950 0.4009
0.6826 0.0991 0.0050
0.4165 0.3174 0.3224
0.0941 0.9165 0.0991
0.9059 0.8224 0.5050
0.6826 0.5835 0.1776
0.9165 0.8224 0.8174
0.0991 0.4165 0.0941
0.5000 0.0000 0.5000
0.6250 0.7500 0.8750
0.2500 0.3750 0.6250
0.0000 0.0000 0.0000
0.5000 0.5000 0.0000
0.2500 0.8750 0.1250
0.5000 0.5000 0.5000
0.1250 0.3750 0.2500
0.0000 0.5000 0.5000
0.0000 0.5000 0.0000
0.8750 0.2500 0.6250
0.7500 0.6250 0.3750
0.5000 0.0000 0.0000
0.7500 0.1250 0.8750
0.0000 0.0000 0.5000
0.1250 0.7500 0.3750
0.8750 0.6250 0.7500
0.3750 0.1250 0.7500
0.3750 0.2500 0.1250
0.6250 0.8750 0.2500
0.3750 0.6250 0.2500
0.3750 0.7500 0.6250
0.2500 0.1250 0.3750
0.8750 0.1250 0.2500
0.8750 0.7500 0.1250
0.6250 0.2500 0.3750
0.7500 0.8750 0.6250
0.6250 0.3750 0.7500
0.7500 0.3750 0.1250
0.1250 0.2500 0.8750
0.1250 0.8750 0.7500
0.2500 0.6250 0.8750
```


No. 4
Here is crystalline Th2HPt at its relaxed geometry from the Alexandria database. Energies are from PBE-GGA.

Results
**N(E_F)**: 1.04 states/eV per atom
**Final energy**: -6.442 eV/atom
**Total moment**: 0.002 μB per cell

```
Th2HPt
1.0
-0.2975 0.5861 -4.0233
0.5863 -3.1158 -2.5626
-7.4070 -2.5116 -1.8835
Th Pt H
2 1 1
direct
0.9077 0.9077 0.2769
0.0923 0.0923 0.7231
0.5000 0.5000 0.5000
0.0000 0.0000 0.0000
```


No. 5
Here is crystalline ThH6Pt2 at its relaxed geometry from the Alexandria database. Energies are from PBE-GGA.

Results
**N(E_F)**: 0.06 states/eV per atom
**Final energy**: -4.675 eV/atom
**Total moment**: 0.000 μB per cell

```
ThH6Pt2
1.0
-3.1566 4.9076 0.6441
0.4929 0.1787 -5.8471
-3.2062 -5.4004 2.1317
H Pt Th
12 4 2
direct
0.1833 0.0547 0.5661
0.6705 0.6051 0.8014
0.8671 0.2385 0.9339
0.2068 0.1648 0.2616
0.9032 0.9452 0.7384
0.8037 0.8690 0.1986
0.4148 0.9568 0.7616
0.1190 0.5537 0.6986
0.8551 0.4205 0.3014
0.4885 0.6171 0.4339
0.1952 0.6532 0.2384
0.3047 0.9333 0.0661
0.8419 0.5369 0.0508
0.7869 0.5919 0.5508
0.0410 0.2361 0.4492
0.4861 0.7910 0.9492
0.3035 0.3035 0.0000
0.5535 0.0535 0.5000
```


No. 6
Here is crystalline ThH6Pt3 at its relaxed geometry from the Alexandria database. Energies are from PBE-GGA.

Results
**N(E_F)**: 0.14 states/eV per atom
**Final energy**: -4.875 eV/atom
**Total moment**: 0.000 μB per cell

```
ThH6Pt3
1.0
4.8590 0.0740 -2.2805
-3.1485 4.1058 -0.1368
0.1283 -0.1270 5.2964
Pt H Th
3 6 1
direct
0.6480 0.4459 0.1445
0.2878 0.0714 0.4248
0.3907 0.7917 0.0044
0.4124 0.3546 0.7209
0.0281 0.6766 0.1289
0.7799 0.1771 0.2231
0.0139 0.4313 0.7798
0.3057 0.3296 0.2214
0.3071 0.8462 0.6558
0.8264 0.8757 0.6963
```


No. 7
Here is crystalline ThHPt2 at its relaxed geometry from the Alexandria database. Energies are from PBE-GGA.

Results
**N(E_F)**: 0.39 states/eV per atom
**Final energy**: -6.502 eV/atom
**Total moment**: 0.000 μB per cell

```
ThHPt2
1.0
-1.9845 3.1317 2.2876
-4.9846 -4.2334 1.4712
3.2239 -2.8932 2.5977
H Th Pt
2 2 4
direct
0.6719 0.7500 0.8416
0.3281 0.2500 0.1584
0.0421 0.7500 0.5822
0.9579 0.2500 0.4178
0.3466 0.9682 0.1940
0.6534 0.4682 0.8060
0.6534 0.0318 0.8060
0.3466 0.5318 0.1940
```


No. 8
Here is crystalline ThH3Pt at its relaxed geometry from the Alexandria database. Energies are from PBE-GGA.

Results
**N(E_F)**: 0.55 states/eV per atom
**Final energy**: -5.100 eV/atom
**Total moment**: 0.000 μB per cell

```
ThH3Pt
1.0
3.8118 0.0000 0.0000
0.0000 3.8118 0.0000
0.0000 0.0000 3.8118
H Pt Th
3 1 1
direct
0.5000 0.0000 0.0000
0.0000 0.5000 0.0000
0.0000 0.0000 0.5000
0.0000 0.0000 0.0000
0.5000 0.5000 0.5000
```


No. 9
Here is crystalline Th2HPt at its relaxed geometry from the Alexandria database. Energies are from PBE-GGA.

Results
**N(E_F)**: 0.73 states/eV per atom
**Final energy**: -6.545 eV/atom
**Total moment**: 0.000 μB per cell

```
Th2HPt
1.0
3.9209 0.0000 0.0000
1.9605 3.3956 0.0000
1.9605 1.1319 6.9240
Th Pt H
2 1 1
direct
0.2479 0.2479 0.2563
0.0878 0.0878 0.7366
0.6672 0.6672 0.9985
0.4971 0.4971 0.5086
```


No. 10
Here is crystalline Th6HPt2 at its relaxed geometry from the Alexandria database. Energies are from PBE-GGA.

Results
**N(E_F)**: 1.24 states/eV per atom
**Final energy**: -7.231 eV/atom
**Total moment**: 0.000 μB per cell

```
Th6HPt2
1.0
-4.3018 3.5669 -3.0496
-5.3369 -3.2325 3.7474
0.7730 7.0533 7.1850
Pt Th H
4 12 2
direct
0.3980 0.1165 0.7509
0.8980 0.3835 0.2509
0.6020 0.8835 0.2491
0.1020 0.6165 0.7491
0.6365 0.1837 0.0560
0.1331 0.3163 0.9438
0.8635 0.6837 0.4440
0.3669 0.8163 0.5562
0.6331 0.1837 0.4438
0.6561 0.4594 0.7487
0.3635 0.8163 0.9440
0.1561 0.0406 0.2487
0.1365 0.3163 0.5560
0.8439 0.9594 0.7513
0.8669 0.6837 0.0562
0.3439 0.5406 0.2513
0.5000 0.5000 0.0000
0.0000 0.0000 0.5000
```


No. 11
Here is crystalline ThH6Pt4 at its relaxed geometry from the Alexandria database. Energies are from PBE-GGA.

Results
**N(E_F)**: 0.14 states/eV per atom
**Final energy**: -4.997 eV/atom
**Total moment**: 0.000 μB per cell

```
ThH6Pt4
1.0
7.5663 0.7144 4.7293
-0.9076 5.6101 3.6720
2.4062 1.9623 5.8391
Pt H Th
4 6 1
direct
0.8252 0.7104 0.8779
0.3447 0.7912 0.0803
0.6483 0.2181 0.0985
0.3999 0.5056 0.8679
0.1304 0.6813 0.6161
0.3349 0.7789 0.6412
0.6713 0.9131 0.8009
0.4468 0.4141 0.6367
0.6349 0.3775 0.7712
0.0022 0.0405 0.6445
0.0615 0.0693 0.9645
```


No. 12
Here is crystalline ThH12Pt3 at its relaxed geometry from the Alexandria database. Energies are from PBE-GGA.

Results
**N(E_F)**: 0.35 states/eV per atom
**Final energy**: -4.211 eV/atom
**Total moment**: 0.000 μB per cell

```
ThH12Pt3
1.0
2.7784 -2.1810 6.6974
3.9583 -6.4318 0.5435
9.2442 1.3058 0.8705
H Pt Th
24 6 2
direct
0.3653 0.3668 0.6010
0.8698 0.2138 0.3874
0.1670 0.8668 0.1010
0.5099 0.5119 0.1115
0.8667 0.5099 0.1115
0.7138 0.3698 0.8874
0.5257 0.2174 0.3852
0.8668 0.8653 0.1010
0.5290 0.8698 0.3874
0.3667 0.0119 0.6115
0.2174 0.8717 0.3852
0.3668 0.6670 0.6010
0.0099 0.3667 0.6115
0.0257 0.3717 0.8852
0.5119 0.8667 0.1115
0.3717 0.7174 0.8852
0.8653 0.1670 0.1010
0.0290 0.7138 0.8874
0.6670 0.3653 0.6010
0.0119 0.0099 0.6115
0.3698 0.0290 0.8874
0.2138 0.5290 0.3874
0.7174 0.0257 0.8852
0.8717 0.5257 0.3852
0.2888 0.9243 0.5003
0.2866 0.2888 0.5003
0.9243 0.2866 0.5003
0.4243 0.7888 0.0003
0.7888 0.7866 0.0003
0.7866 0.4243 0.0003
0.5479 0.5479 0.3563
0.0479 0.0479 0.8563
```


No. 13
Here is crystalline ThH3Pt3 at its relaxed geometry from the Alexandria database. Energies are from PBE-GGA.

Results
**N(E_F)**: 0.45 states/eV per atom
**Final energy**: -5.719 eV/atom
**Total moment**: 0.000 μB per cell

```
ThH3Pt3
1.0
4.7968 0.0000 0.0000
0.0000 5.5747 -3.2185
0.0000 0.0000 6.4371
H Pt Th
6 6 2
direct
0.7500 0.1141 0.5571
0.2500 0.8859 0.4429
0.7500 0.4429 0.5570
0.7500 0.4430 0.8859
0.2500 0.5571 0.4430
0.2500 0.5570 0.1141
0.7500 0.1442 0.8559
0.2500 0.8559 0.7118
0.7500 0.1441 0.2882
0.2500 0.2882 0.1442
0.2500 0.8558 0.1441
0.7500 0.7118 0.8558
0.7500 0.6667 0.3333
0.2500 0.3333 0.6667
```


No. 14
Here is crystalline ThH7Pt4 at its relaxed geometry from the Alexandria database. Energies are from PBE-GGA.

Results
**N(E_F)**: 0.14 states/eV per atom
**Final energy**: -4.858 eV/atom
**Total moment**: 0.000 μB per cell

```
ThH7Pt4
1.0
5.3516 0.0000 0.0000
0.0000 6.5822 -4.1071
0.0000 -0.5269 7.7405
H Pt Th
14 8 2
direct
0.0027 0.5905 0.9068
0.2500 0.8558 0.8558
0.7500 0.7726 0.2707
0.7500 0.2707 0.7726
0.2500 0.7293 0.2274
0.4973 0.9068 0.5905
0.0027 0.9068 0.5905
0.5027 0.4095 0.0932
0.7500 0.1442 0.1442
0.2500 0.2274 0.7293
0.4973 0.5905 0.9068
0.9973 0.0932 0.4095
0.5027 0.0932 0.4095
0.9973 0.4095 0.0932
0.5000 0.6544 0.3456
0.0000 0.3456 0.6544
0.5000 0.3456 0.6544
0.2500 0.7759 0.0281
0.7500 0.2241 0.9719
0.7500 0.9719 0.2241
0.0000 0.6544 0.3456
0.2500 0.0281 0.7759
0.7500 0.7424 0.7424
0.2500 0.2576 0.2576
```


No. 15
Here is crystalline TiHPt at its relaxed geometry from the Alexandria database. Energies are from PBE-GGA.

Results
**N(E_F)**: 0.64 states/eV per atom
**Final energy**: -6.383 eV/atom
**Total moment**: 0.000 μB per cell

```
TiHPt
1.0
-4.2514 -1.0900 -8.4092
-1.1451 -1.5418 -4.5719
18.7643 1.9684 44.8526
Pt H Ti
2 2 2
direct
0.9593 0.9998 0.3676
0.0407 0.0002 0.6324
0.6324 0.0004 0.9631
0.3676 0.9996 0.0369
0.3011 0.0007 0.1839
0.6989 0.9993 0.8161
```


No. 16
Here is crystalline Ti3H3Pt at its relaxed geometry from the Alexandria database. Energies are from PBE-GGA.

Results
**N(E_F)**: 0.52 states/eV per atom
**Final energy**: -6.272 eV/atom
**Total moment**: 0.000 μB per cell

```
Ti3H3Pt
1.0
-1.3941 0.7115 -4.9795
4.9537 -0.7024 -1.4873
-0.8728 -5.1230 -0.4877
H Ti Pt
6 6 2
direct
0.7500 0.0000 0.5000
0.5000 0.2500 0.0000
0.5000 0.7500 0.0000
0.2500 0.0000 0.5000
0.0000 0.5000 0.2500
0.0000 0.5000 0.7500
0.5000 0.0000 0.2500
0.7500 0.5000 0.0000
0.5000 0.0000 0.7500
0.0000 0.7500 0.5000
0.0000 0.2500 0.5000
0.2500 0.5000 0.0000
0.0000 0.0000 0.0000
0.5000 0.5000 0.5000
```


No. 17
Here is crystalline TiH2Pt2 at its relaxed geometry from the Alexandria database. Energies are from PBE-GGA.

Results
**N(E_F)**: 0.22 states/eV per atom
**Final energy**: -5.665 eV/atom
**Total moment**: 0.000 μB per cell

```
TiH2Pt2
1.0
-3.1611 0.1996 1.5601
-1.5720 -0.5163 -3.1191
-2.3036 -4.4004 -0.1091
Pt H Ti
2 2 1
direct
0.3417 0.3417 0.3167
0.6583 0.6583 0.6833
0.2500 0.7500 0.5000
0.7500 0.2500 0.5000
0.0000 0.0000 0.0000
```


No. 18
Here is crystalline Ti2HPt at its relaxed geometry from the Alexandria database. Energies are from PBE-GGA.

Results
**N(E_F)**: 1.19 states/eV per atom
**Final energy**: -6.743 eV/atom
**Total moment**: 0.003 μB per cell

```
Ti2HPt
1.0
-2.8773 0.2304 -0.3408
-1.7150 -2.2833 0.5418
-2.1397 1.3135 6.5585
Ti Pt H
2 1 1
direct
0.7258 0.7258 0.8226
0.2742 0.2742 0.1774
0.5000 0.5000 0.5000
0.0000 0.0000 0.0000
```